Here is a relaxed structure of BeCu2Pb from Alexandria. Energies are from GGA-PBE.

## Properties
* calculated formation energy: 427 meV/atom
* total magnetization: 0.00 μB per cell
* space-group type: I4/mmm
* calculated total energy: -13.92 eV for the cell shown
* excess energy over the best structure of this formula in the dataset: 184 meV per atom

Cell: 4.877 4.877 4.877 Å, 133.22 133.22 68.31°
Element x y z (fractional)
Pb (0.250, 0.750, 0.500)
Be (0.750, 0.250, 0.500)
Cu (0.000, 0.000, 0.000)
Cu (0.500, 0.500, 0.000)